Record 1
This record from Alexandria via LeMat-Bulk describes CrHgOs2 after structural relaxation. The functional is PBE.

Calculated values
spin magnetization = 0.668 μB/atom

abc: 2.826 2.826 7.967
angles: 90.00 90.00 90.00
Fractional positions:
1 Cr 0.000 0.000 0.476
2 Hg 0.500 0.500 0.747
3 Os 0.000 0.000 0.032
4 Os 0.500 0.500 0.245



Record 2
This record from Alexandria via LeMat-Bulk describes CrHgOs2 after structural relaxation. The functional is PBE.

Calculated values
spin magnetization = 0.328 μB/atom

abc: 4.796 4.796 2.865
angles: 90.00 90.00 110.08
Fractional positions:
1 Cr 0.500 0.000 0.500
2 Hg 0.000 0.500 0.500
3 Os 0.000 0.000 0.000
4 Os 0.500 0.500 0.000



Record 3
This record from Alexandria via LeMat-Bulk describes CrHgOs2 after structural relaxation. The functional is PBE.

Calculated values
spin magnetization = 0.238 μB/atom

abc: 2.748 2.748 9.408
angles: 90.00 90.00 117.28
Fractional positions:
1 Cr 0.500 0.500 0.250
2 Hg 0.500 0.500 0.750
3 Os 0.000 0.000 0.035
4 Os 0.000 0.000 0.465



Record 4
This record from Alexandria via LeMat-Bulk describes CrHgOs2 after structural relaxation. The functional is PBE.

Calculated values
spin magnetization = 0.653 μB/atom

abc: 3.862 2.830 6.417
angles: 63.82 90.00 90.00
Fractional positions:
1 Cr 0.000 0.525 0.475
2 Hg 0.500 0.758 0.742
3 Os 0.000 0.958 0.042
4 Os 0.500 0.260 0.240



Looking at ΔE_f for the records above, in order, we have 1.722, 3.385, 2.498, 2.111 eV per formula unit.